(1)
Density functional theory data (PBE) for an optimized crystal structure of Pr6Ho3Er2.

Computed properties:
* energy above the most stable polymorph in this dataset: 0.0 meV/atom
* DFT total energy: -50.7 eV per cell
* space group: P-1 (2)

Lattice parameters (Å, degrees): 6.152 6.822 9.901 89.17 89.01 64.32
Positions (direct):
Pr (0.097, 0.392, 0.319)
Pr (0.210, 0.227, 0.953)
Pr (0.252, 0.850, 0.226)
Pr (0.748, 0.150, 0.774)
Pr (0.790, 0.773, 0.047)
Pr (0.903, 0.608, 0.681)
Ho (0.345, 0.680, 0.868)
Ho (0.500, 0.500, 0.500)
Ho (0.655, 0.320, 0.132)
Er (0.269, 0.044, 0.601)
Er (0.731, 0.956, 0.399)

***

(2)
Density functional theory data (PBE) for an optimized crystal structure of Cr3ReSb.

Computed properties:
* energy above the most stable polymorph in this dataset: 0.0 meV/atom
* formation energy from raw total energies: 1183.0 meV/atom
* DFT total energy: -39.5 eV per cell
* space group: Pm-3m (221)

Lattice parameters (Å, degrees): 4.725 4.725 4.725 90.00 90.00 90.00
Positions (direct):
Cr (0.000, 0.000, 0.500)
Cr (0.000, 0.500, 0.000)
Cr (0.500, 0.000, 0.000)
Re (0.000, 0.000, 0.000)
Sb (0.500, 0.500, 0.500)

***

(3)
Density functional theory data (PBE) for an optimized crystal structure of GaTeAs2F.

Computed properties:
* formation energy from raw total energies: 562.8 meV/atom
* DFT total energy: -14.5 eV per cell
* space group: P4/mmm (123)

Lattice parameters (Å, degrees): 5.261 5.261 6.379 90.00 90.00 90.00
Positions (direct):
Ga (0.000, 0.000, 0.000)
Te (0.000, 0.000, 0.500)
As (0.000, 0.500, 0.500)
As (0.500, 0.000, 0.500)
F (0.500, 0.500, 0.000)

***

(4)
Density functional theory data (PBE) for an optimized crystal structure of SbOsCl2.

Computed properties:
* energy above the most stable polymorph in this dataset: 250.5 meV/atom
* formation energy from raw total energies: 273.2 meV/atom
* DFT total energy: -35.9 eV per cell
* space group: Immm (71)

Lattice parameters (Å, degrees): 3.028 5.081 13.443 90.00 90.00 90.00
Positions (direct):
Sb (0.000, 0.000, 0.000)
Sb (0.500, 0.500, 0.500)
Os (0.000, 0.000, 0.500)
Os (0.500, 0.500, 0.000)
Cl (0.000, 0.500, 0.142)
Cl (0.000, 0.500, 0.858)
Cl (0.500, 0.000, 0.358)
Cl (0.500, 0.000, 0.642)

***

(5)
Density functional theory data (PBE) for an optimized crystal structure of EuEr2Os.

Computed properties:
* energy above the most stable polymorph in this dataset: 345.3 meV/atom
* DFT total energy: -89.7 eV per cell
* space group: R-3m (166)

Lattice parameters (Å, degrees): 3.873 3.873 31.485 90.00 90.00 120.00
Positions (direct):
Eu (0.000, 0.000, 0.000)
Eu (0.333, 0.667, 0.667)
Eu (0.667, 0.333, 0.333)
Er (0.000, 0.000, 0.117)
Er (0.000, 0.000, 0.883)
Er (0.333, 0.667, 0.549)
Er (0.333, 0.667, 0.784)
Er (0.667, 0.333, 0.216)
Er (0.667, 0.333, 0.451)
Os (0.000, 0.000, 0.500)
Os (0.333, 0.667, 0.167)
Os (0.667, 0.333, 0.833)

***

(6)
Density functional theory data (PBE) for an optimized crystal structure of CaAsP2N6.

Computed properties:
* formation energy from raw total energies: -171.2 meV/atom
* DFT total energy: -138.3 eV per cell
* space group: C2/c (15)

Lattice parameters (Å, degrees): 7.120 7.120 5.600 107.69 107.69 91.34
Positions (direct):
Ca (0.114, 0.886, 0.750)
Ca (0.886, 0.114, 0.250)
As (0.219, 0.781, 0.250)
As (0.781, 0.219, 0.750)
P (0.232, 0.383, 0.872)
P (0.383, 0.232, 0.372)
P (0.617, 0.768, 0.628)
P (0.768, 0.617, 0.128)
N (0.027, 0.225, 0.711)
N (0.198, 0.618, 0.929)
N (0.225, 0.027, 0.211)
N (0.335, 0.350, 0.157)
N (0.350, 0.335, 0.657)
N (0.382, 0.802, 0.571)
N (0.618, 0.198, 0.429)
N (0.650, 0.665, 0.343)
N (0.665, 0.650, 0.843)
N (0.775, 0.973, 0.789)
N (0.802, 0.382, 0.071)
N (0.973, 0.775, 0.289)

***

(7)
Density functional theory data (PBE) for an optimized crystal structure of ThCd2Hg.

Computed properties:
* energy above the most stable polymorph in this dataset: 392.9 meV/atom
* DFT total energy: -26.0 eV per cell
* space group: R-3m (166)

Lattice parameters (Å, degrees): 3.306 3.306 34.989 90.00 90.00 120.00
Positions (direct):
Th (0.000, 0.000, 0.000)
Th (0.333, 0.667, 0.667)
Th (0.667, 0.333, 0.333)
Cd (0.000, 0.000, 0.094)
Cd (0.000, 0.000, 0.906)
Cd (0.333, 0.667, 0.573)
Cd (0.333, 0.667, 0.760)
Cd (0.667, 0.333, 0.240)
Cd (0.667, 0.333, 0.427)
Hg (0.000, 0.000, 0.500)
Hg (0.333, 0.667, 0.167)
Hg (0.667, 0.333, 0.833)

***

(8)
Density functional theory data (PBE) for an optimized crystal structure of HfThZn17.

Computed properties:
* DFT total energy: -41.6 eV per cell
* space group: R3m (160)

Lattice parameters (Å, degrees): 6.760 6.760 6.760 83.02 83.02 83.02
Positions (direct):
Hf (0.000, 0.000, 0.000)
Th (0.671, 0.671, 0.671)
Zn (0.039, 0.328, 0.633)
Zn (0.039, 0.633, 0.328)
Zn (0.156, 0.696, 0.696)
Zn (0.227, 0.227, 0.227)
Zn (0.328, 0.039, 0.633)
Zn (0.328, 0.633, 0.039)
Zn (0.343, 0.343, 0.824)
Zn (0.343, 0.824, 0.343)
Zn (0.427, 0.427, 0.427)
Zn (0.477, 0.984, 0.984)
Zn (0.633, 0.039, 0.328)
Zn (0.633, 0.328, 0.039)
Zn (0.696, 0.156, 0.696)
Zn (0.696, 0.696, 0.156)
Zn (0.824, 0.343, 0.343)
Zn (0.984, 0.477, 0.984)
Zn (0.984, 0.984, 0.477)